Material: KV2F
Method: DFT, PBE+U
State: relaxed

Structure (extended XYZ):
```
4
Lattice="0.000 3.680 3.680 3.680 0.000 3.680 3.680 3.680 0.000" Properties=species:S:1:pos:R:3 pbc="T T T"
K 0.000 0.000 0.000
V 1.840 1.840 1.840
V 5.520 5.520 5.520
F 3.680 3.680 3.680
```

Values from the calculation:
**ΔE to the lowest computed polymorph**: 3.40 eV per formula unit
**Space group**: No. 225
**Spin magnetization**: 8.8 μB/cell